Compound: LiLaPt3
Source: Alexandria via LeMat-Bulk
Functional: PBE
Structure: optimized geometry

Properties
ΔH_f (0 K): -0.573 eV per atom
N(E_F): 2.264 states/eV per cell
Volume: 90 Å³ per cell
Magnetic moment: 0.00 Bohr magnetons per cell

```
data_LiLaPt3
_cell_length_a 4.477
_cell_length_b 4.477
_cell_length_c 4.477
_cell_angle_alpha 90.00
_cell_angle_beta 90.00
_cell_angle_gamma 90.00
_space_group_name_H-M_alt 'P 1'
_space_group_IT_number 1
_space_group_name_Hall 'P 1'
loop_
_atom_site_label
_atom_site_type_symbol
_atom_site_fract_x
_atom_site_fract_y
_atom_site_fract_z
_atom_site_occupancy
Li1 Li 0.000 0.000 0.000 1
La1 La 0.500 0.500 0.500 1
Pt1 Pt 0.000 0.000 0.500 1
Pt2 Pt 0.000 0.500 0.000 1
Pt3 Pt 0.500 0.000 0.000 1
```

***

Compound: Li2La2Pt3
Source: Alexandria via LeMat-Bulk
Functional: PBE
Structure: optimized geometry

Properties
ΔH_f (0 K): -0.813 eV per atom
N(E_F): 6.375 states/eV per cell
Volume: 311 Å³ per cell
Magnetic moment: 0.00 Bohr magnetons per cell

```
data_Li2La2Pt3
_cell_length_a 7.798
_cell_length_b 7.798
_cell_length_c 12.140
_cell_angle_alpha 121.84
_cell_angle_beta 121.84
_cell_angle_gamma 30.22
_space_group_name_H-M_alt 'P 1'
_space_group_IT_number 1
_space_group_name_Hall 'P 1'
loop_
_atom_site_label
_atom_site_type_symbol
_atom_site_fract_x
_atom_site_fract_y
_atom_site_fract_z
_atom_site_occupancy
Li1 Li 0.038 0.038 0.323 1
Li2 Li 0.414 0.414 0.341 1
Li3 Li 0.586 0.586 0.659 1
Li4 Li 0.962 0.962 0.677 1
La1 La 0.269 0.269 0.660 1
La2 La 0.391 0.391 0.046 1
La3 La 0.609 0.609 0.954 1
La4 La 0.731 0.731 0.340 1
Pt1 Pt 0.080 0.080 0.134 1
Pt2 Pt 0.169 0.169 0.822 1
Pt3 Pt 0.380 0.380 0.525 1
Pt4 Pt 0.620 0.620 0.475 1
Pt5 Pt 0.831 0.831 0.178 1
Pt6 Pt 0.920 0.920 0.866 1
```

***

Compound: Li5LaPt2
Source: Alexandria via LeMat-Bulk
Functional: PBE
Structure: optimized geometry

Properties
ΔH_f (0 K): -0.531 eV per atom
N(E_F): 2.634 states/eV per cell
Volume: 154 Å³ per cell
Magnetic moment: 0.00 Bohr magnetons per cell

```
data_Li5LaPt2
_cell_length_a 6.562
_cell_length_b 6.562
_cell_length_c 6.562
_cell_angle_alpha 144.68
_cell_angle_beta 102.91
_cell_angle_gamma 87.74
_space_group_name_H-M_alt 'P 1'
_space_group_IT_number 1
_space_group_name_Hall 'P 1'
loop_
_atom_site_label
_atom_site_type_symbol
_atom_site_fract_x
_atom_site_fract_y
_atom_site_fract_z
_atom_site_occupancy
Li1 Li 0.000 0.000 0.000 1
Li2 Li 0.010 0.330 0.680 1
Li3 Li 0.350 0.670 0.680 1
Li4 Li 0.650 0.330 0.320 1
Li5 Li 0.990 0.670 0.320 1
La1 La 0.500 0.000 0.500 1
Pt1 Pt 0.274 0.274 0.000 1
Pt2 Pt 0.726 0.726 0.000 1
```

***

Compound: LiLa2Pt
Source: Alexandria via LeMat-Bulk
Functional: PBE
Structure: optimized geometry

Properties
ΔH_f (0 K): -0.493 eV per atom
N(E_F): 4.737 states/eV per cell
Volume: 134 Å³ per cell
Magnetic moment: 0.00 Bohr magnetons per cell

```
data_LiLa2Pt
_cell_length_a 9.147
_cell_length_b 9.147
_cell_length_c 9.147
_cell_angle_alpha 26.45
_cell_angle_beta 26.45
_cell_angle_gamma 26.45
_space_group_name_H-M_alt 'P 1'
_space_group_IT_number 1
_space_group_name_Hall 'P 1'
loop_
_atom_site_label
_atom_site_type_symbol
_atom_site_fract_x
_atom_site_fract_y
_atom_site_fract_z
_atom_site_occupancy
Li1 Li 0.000 0.000 0.000 1
La1 La 0.229 0.229 0.229 1
La2 La 0.771 0.771 0.771 1
Pt1 Pt 0.500 0.500 0.500 1
```

***

Compound: Li2LaPt
Source: Alexandria via LeMat-Bulk
Functional: PBE
Structure: optimized geometry

Properties
ΔH_f (0 K): -0.524 eV per atom
N(E_F): 2.946 states/eV per cell
Volume: 85 Å³ per cell
Magnetic moment: 0.00 Bohr magnetons per cell

```
data_Li2LaPt
_cell_length_a 4.474
_cell_length_b 4.474
_cell_length_c 5.527
_cell_angle_alpha 113.90
_cell_angle_beta 113.90
_cell_angle_gamma 59.87
_space_group_name_H-M_alt 'P 1'
_space_group_IT_number 1
_space_group_name_Hall 'P 1'
loop_
_atom_site_label
_atom_site_type_symbol
_atom_site_fract_x
_atom_site_fract_y
_atom_site_fract_z
_atom_site_occupancy
Li1 Li 0.000 0.000 0.000 1
Li2 Li 0.715 0.715 0.145 1
La1 La 0.518 0.518 0.552 1
Pt1 Pt 0.305 0.305 0.915 1
```

***

Compound: Li2LaPt
Source: Alexandria via LeMat-Bulk
Functional: PBE
Structure: optimized geometry

Properties
ΔH_f (0 K): -0.510 eV per atom
N(E_F): 1.766 states/eV per cell
Volume: 89 Å³ per cell
Magnetic moment: 0.00 Bohr magnetons per cell

```
data_Li2LaPt
_cell_length_a 4.153
_cell_length_b 4.153
_cell_length_c 5.176
_cell_angle_alpha 90.00
_cell_angle_beta 90.00
_cell_angle_gamma 93.54
_space_group_name_H-M_alt 'P 1'
_space_group_IT_number 1
_space_group_name_Hall 'P 1'
loop_
_atom_site_label
_atom_site_type_symbol
_atom_site_fract_x
_atom_site_fract_y
_atom_site_fract_z
_atom_site_occupancy
Li1 Li 0.191 0.809 0.000 1
Li2 Li 0.809 0.191 0.000 1
La1 La 0.500 0.500 0.500 1
Pt1 Pt 0.000 0.000 0.500 1
```

***

Compound: Li2LaPt
Source: Alexandria via LeMat-Bulk
Functional: PBE
Structure: optimized geometry

Properties
ΔH_f (0 K): -0.449 eV per atom
N(E_F): 3.586 states/eV per cell
Volume: 84 Å³ per cell
Magnetic moment: 0.00 Bohr magnetons per cell

```
data_Li2LaPt
_cell_length_a 4.929
_cell_length_b 4.929
_cell_length_c 4.929
_cell_angle_alpha 120.30
_cell_angle_beta 120.30
_cell_angle_gamma 89.48
_space_group_name_H-M_alt 'P 1'
_space_group_IT_number 1
_space_group_name_Hall 'P 1'
loop_
_atom_site_label
_atom_site_type_symbol
_atom_site_fract_x
_atom_site_fract_y
_atom_site_fract_z
_atom_site_occupancy
Li1 Li 0.000 0.000 0.000 1
Li2 Li 0.750 0.250 0.500 1
La1 La 0.500 0.500 0.000 1
Pt1 Pt 0.250 0.750 0.500 1
```

***

Compound: Li2LaPt
Source: Alexandria via LeMat-Bulk
Functional: PBE
Structure: optimized geometry

Properties
ΔH_f (0 K): -0.546 eV per atom
N(E_F): 0.933 states/eV per cell
Volume: 79 Å³ per cell
Magnetic moment: 0.00 Bohr magnetons per cell

```
data_Li2LaPt
_cell_length_a 5.394
_cell_length_b 5.394
_cell_length_c 5.394
_cell_angle_alpha 134.52
_cell_angle_beta 134.35
_cell_angle_gamma 66.41
_space_group_name_H-M_alt 'P 1'
_space_group_IT_number 1
_space_group_name_Hall 'P 1'
loop_
_atom_site_label
_atom_site_type_symbol
_atom_site_fract_x
_atom_site_fract_y
_atom_site_fract_z
_atom_site_occupancy
Li1 Li 0.249 0.249 0.000 1
Li2 Li 0.751 0.751 0.000 1
La1 La 0.500 0.000 0.500 1
Pt1 Pt 0.000 0.500 0.500 1
```

***

Which value of magnetic moment does entry 1 give? 0.00 Bohr magnetons per cell